1.
Below is a relaxed PaMnFeRu crystal, with properties calculated at the PBE-GGA level.

Unit cell a=6.372 b=6.372 c=6.372 alpha=90.00 beta=90.00 gamma=90.00
Space group F-43m (No. 216)
Asymmetric unit:
Pa (0.000, 0.000, 0.000) [4 per cell]
Mn (0.000, 0.000, 0.500) [4 per cell]
Fe (0.250, 0.250, 0.750) [4 per cell]
Ru (0.250, 0.250, 0.250) [4 per cell]

- electronic total energy (eV per atom) = -9.16
- Fermi-level density of states (states/eV/atom) = 0.88

=====

2.
Below is a relaxed TbOsS2 crystal, with properties calculated at the PBE-GGA level.

Unit cell a=3.7245 b=3.7245 c=22.5155 alpha=90.00 beta=90.00 gamma=120.00
Space group R-3m (No. 166, hexagonal axes)
Asymmetric unit:
Tb (0.0000, 0.0000, 0.0000) [3 per cell]
Os (0.0000, 0.0000, 0.5000) [3 per cell]
S (0.0000, 0.0000, 0.1192) [6 per cell]

- uncorrected formation energy (eV per atom) = -0.2485
- Fermi-level density of states (states/eV/atom) = 0.87

=====

3.
Below is a relaxed LiMgSi2 crystal, with properties calculated at the PBE-GGA level.

Unit cell a=3.925 b=3.925 c=8.082 alpha=90.00 beta=90.00 gamma=90.00
Space group I4/mmm (No. 139)
Asymmetric unit:
Li (0.000, 0.000, 0.000) [2 per cell]
Mg (0.000, 0.000, 0.500) [2 per cell]
Si (0.000, 0.500, 0.250) [4 per cell]

- uncorrected formation energy (eV per atom) = -0.0348
- Fermi-level density of states (states/eV/atom) = 0.26

=====

4.
Below is a relaxed ReAgAu2 crystal, with properties calculated at the PBE-GGA level.

Unit cell a=2.740 b=4.253 c=5.862 alpha=90.00 beta=90.00 gamma=90.00
Space group Pmm2 (No. 25)
Asymmetric unit:
Re (0.000, 0.000, 0.000) [1 per cell]
Ag (0.500, 0.500, 0.260) [1 per cell]
Au (0.000, 0.000, 0.501) [1 per cell]
Au (0.500, 0.500, 0.783) [1 per cell]

- ΔE to the lowest computed polymorph (meV per atom) = 193
- Fermi-level density of states (states/eV/atom) = 0.84

=====

5.
Below is a relaxed TaPbSe crystal, with properties calculated at the PBE-GGA level.

Unit cell a=4.6517 b=4.6517 c=3.4371 alpha=90.00 beta=90.00 gamma=120.00
Space group P-6m2 (No. 187)
Asymmetric unit:
Ta (0.0000, 0.0000, 0.0000) [1 per cell]
Pb (0.6667, 0.3333, 0.5000) [1 per cell]
Se (0.3333, 0.6667, 0.0000) [1 per cell]

- uncorrected formation energy (eV per atom) = 0.1747
- ΔE to the lowest computed polymorph (meV per atom) = 381
- Fermi-level density of states (states/eV/atom) = 0.87

=====

6.
Below is a relaxed InRh4Au crystal, with properties calculated at the PBE-GGA level.

Unit cell a=7.346 b=7.346 c=7.346 alpha=90.00 beta=90.00 gamma=90.00
Space group F-43m (No. 216)
Asymmetric unit:
In (0.000, 0.000, 0.000) [4 per cell]
Rh (0.125, 0.125, 0.625) [16 per cell]
Au (0.250, 0.250, 0.250) [4 per cell]

- electronic total energy (eV per atom) = -5.75
- Fermi-level density of states (states/eV/atom) = 1.96

=====

| no. | theoretical density (g/cm³) |
| --- | --- |
| 1 | 11.37 |
| 2 | 7.61 |
| 3 | 2.33 |
| 4 | 16.73 |
| 5 | 12.04 |
| 6 | 12.12 |